Record 1
A relaxed Tm2Tl3Cd3 crystal, computed with PBE.

Results
* energy of formation: -0.205 eV/atom

Lattice parameters (Å, degrees): 4.7989 4.9863 8.3666 90.00 90.00 90.00
Space group Pmmm (No. 47)
Inequivalent atoms, fractional coordinates:
Tm  0.0000  0.0000  0.2503
Tl  0.0000  0.5000  0.0000
Tl  0.5000  0.0000  0.0000
Tl  0.5000  0.0000  0.5000
Cd  0.0000  0.5000  0.5000
Cd  0.5000  0.5000  0.2598


Record 2
A relaxed Np3Tl2PbS8 crystal, computed with PBE.

Results
* formation energy without anion corrections: -0.954 eV/atom

Lattice parameters (Å, degrees): 8.0817 8.0817 22.9358 90.00 90.00 120.00
Space group R3m (No. 160, hexagonal axes)
Inequivalent atoms, fractional coordinates:
Np  0.0025  0.5012  0.0000
Tl  0.0000  0.0000  0.1280
Tl  0.0000  0.0000  0.4948
Pb  0.0000  0.0000  0.8831
S  0.0000  0.0000  0.2723
S  0.0000  0.0000  0.7267
S  0.0183  0.5091  0.2693
S  0.1810  0.3620  0.0616


Record 3
A relaxed Tl3CdTe2O9 crystal, computed with PBE.

Results
* formation energy without anion corrections: -0.757 eV/atom

Lattice parameters (Å, degrees): 5.8279 5.8279 7.4306 90.00 90.00 120.00
Space group P-3m1 (No. 164)
Inequivalent atoms, fractional coordinates:
Tl  0.0000  0.0000  0.0000
Tl  0.3333  0.6667  0.6564
Cd  0.0000  0.0000  0.5000
Te  0.3333  0.6667  0.1615
O  0.0000  0.5000  0.0000
O  0.1688  0.3375  0.2904


Record 4
A relaxed Th3NpPt12 crystal, computed with PBE.

Results
* energy of formation: -0.978 eV/atom

Lattice parameters (Å, degrees): 4.2175 4.2175 16.8614 90.00 90.00 90.00
Space group P4/mmm (No. 123)
Inequivalent atoms, fractional coordinates:
Th  0.0000  0.0000  0.0000
Th  0.0000  0.0000  0.2529
Np  0.0000  0.0000  0.5000
Pt  0.0000  0.5000  0.1257
Pt  0.0000  0.5000  0.3767
Pt  0.5000  0.5000  0.0000
Pt  0.5000  0.5000  0.2506
Pt  0.5000  0.5000  0.5000


Record 5
A relaxed Na2CrAsH crystal, computed with PBE.

Lattice parameters (Å, degrees): 5.6631 5.6631 3.3396 90.00 90.00 90.00
Space group P4/mmm (No. 123)
Inequivalent atoms, fractional coordinates:
Na  0.0000  0.5000  0.0000
Cr  0.0000  0.0000  0.0000
As  0.5000  0.5000  0.5000
H  0.0000  0.0000  0.5000


Record 6
A relaxed MgSnH2Br crystal, computed with PBE.

Lattice parameters (Å, degrees): 4.1497 4.1497 6.1008 90.00 90.00 90.00
Space group P4/mmm (No. 123)
Inequivalent atoms, fractional coordinates:
Mg  0.0000  0.0000  0.0000
Sn  0.5000  0.5000  0.0000
H  0.0000  0.5000  0.5000
Br  0.5000  0.5000  0.5000


Computed energy, in the same sequence as the records: -2.5530, -6.6887, -4.6847, -7.7087, -3.6049, -2.1927 eV/atom.